*one*
Material: Ca2CoTc
Method: DFT, GGA-PBE
State: relaxed

```
8
Lattice="4.156 0.000 0.000 0.000 4.202 0.000 0.000 0.000 8.949" Properties=species:S:1:pos:R:3 pbc="T T T"
Ca 0.000 0.000 2.088
Ca 0.000 0.000 6.861
Ca 2.078 2.101 2.088
Ca 2.078 2.101 6.861
Co 0.000 2.101 0.000
Co 2.078 0.000 0.000
Tc 0.000 2.101 4.474
Tc 2.078 0.000 4.474
```


*two*
Material: Ca2CoTc
Method: DFT, GGA-PBE
State: relaxed

```
16
Lattice="10.384 0.000 0.000 0.000 10.384 0.000 0.000 0.000 4.361" Properties=species:S:1:pos:R:3 pbc="T T T"
Ca 0.831 2.596 0.545
Ca 2.596 6.023 1.635
Ca 2.596 9.553 3.816
Ca 4.361 2.596 2.726
Ca 6.023 7.788 2.726
Ca 7.788 0.831 3.816
Ca 7.788 4.361 1.635
Ca 9.553 7.788 0.545
Co 0.000 0.000 0.000
Co 0.000 5.192 1.090
Co 5.192 0.000 3.271
Co 5.192 5.192 2.181
Tc 0.000 0.000 2.181
Tc 0.000 5.192 3.271
Tc 5.192 0.000 1.090
Tc 5.192 5.192 0.000
```


*three*
Material: Ca2CoTc
Method: DFT, GGA-PBE
State: relaxed

```
4
Lattice="2.917 0.000 0.000 0.000 4.509 0.000 -0.078 0.000 6.059" Properties=species:S:1:pos:R:3 pbc="T T T"
Ca -0.014 0.000 1.522
Ca 2.853 0.000 4.537
Co 1.420 2.255 3.030
Tc 1.459 2.255 0.000
```


*four*
Material: Ca2CoTc
Method: DFT, GGA-PBE
State: relaxed

```
8
Lattice="3.859 0.000 0.000 0.000 4.980 0.000 0.000 0.000 9.320" Properties=species:S:1:pos:R:3 pbc="T T T"
Ca 0.000 0.000 0.000
Ca 0.000 2.490 1.972
Ca 1.930 0.000 6.632
Ca 1.930 2.490 4.660
Co 0.000 2.490 7.348
Co 1.930 0.000 2.687
Tc 0.000 0.000 3.803
Tc 1.930 2.490 8.463
```


The least stable of them is *three*.


*one*
Material: Ca2CoTc
Method: DFT, GGA-PBE
State: relaxed

```
8
Lattice="3.709 0.000 0.000 0.000 4.634 0.000 0.000 0.000 9.241" Properties=species:S:1:pos:R:3 pbc="T T T"
Ca 0.000 0.000 2.092
Ca 0.000 0.000 7.150
Ca 1.854 2.317 2.529
Ca 1.854 2.317 6.712
Co 0.000 2.317 4.621
Co 1.854 0.000 0.000
Tc 0.000 2.317 0.000
Tc 1.854 0.000 4.621
```


*two*
Material: Ca2CoTc
Method: DFT, GGA-PBE
State: relaxed

```
12
Lattice="3.149 0.000 0.000 -1.574 2.727 0.000 0.000 0.000 27.583" Properties=species:S:1:pos:R:3 pbc="T T T"
Ca 0.000 0.000 6.772
Ca 0.000 0.000 20.811
Ca 0.000 1.818 11.617
Ca 0.000 1.818 25.160
Ca 1.574 0.909 2.422
Ca 1.574 0.909 15.966
Co 0.000 0.000 13.791
Co 0.000 1.818 4.597
Co 1.574 0.909 22.986
Tc 0.000 0.000 0.000
Tc 0.000 1.818 18.388
Tc 1.574 0.909 9.194
```


*three*
Material: Ca2CoTc
Method: DFT, GGA-PBE
State: relaxed

```
16
Lattice="6.978 0.000 0.000 0.000 6.978 0.000 0.000 0.000 6.978" Properties=species:S:1:pos:R:3 pbc="T T T"
Ca 1.745 1.745 1.745
Ca 1.745 1.745 5.234
Ca 1.745 5.234 1.745
Ca 1.745 5.234 5.234
Ca 5.234 1.745 1.745
Ca 5.234 1.745 5.234
Ca 5.234 5.234 1.745
Ca 5.234 5.234 5.234
Co 0.000 0.000 0.000
Co 0.000 3.489 3.489
Co 3.489 0.000 3.489
Co 3.489 3.489 0.000
Tc 0.000 0.000 3.489
Tc 0.000 3.489 0.000
Tc 3.489 0.000 0.000
Tc 3.489 3.489 3.489
```


*four*
Material: Ca2CoTc
Method: DFT, GGA-PBE
State: relaxed

```
8
Lattice="6.262 0.000 0.000 0.000 8.860 0.000 -0.019 0.000 2.892" Properties=species:S:1:pos:R:3 pbc="T T T"
Ca 1.566 2.215 0.000
Ca 1.566 6.645 0.000
Ca 4.697 2.215 0.000
Ca 4.697 6.645 0.000
Co -0.009 0.000 1.446
Co 3.122 4.430 1.446
Tc -0.009 4.430 1.446
Tc 3.122 0.000 1.446
```


The least stable of them is *two*.


*one*
Material: Ca2CoTc
Method: DFT, GGA-PBE
State: relaxed

```
4
Lattice="3.244 0.000 0.000 0.000 3.244 0.000 0.000 0.000 8.612" Properties=species:S:1:pos:R:3 pbc="T T T"
Ca 0.000 0.000 0.000
Ca 1.622 1.622 3.414
Co 0.000 0.000 5.513
Tc 1.622 1.622 6.410
```


*two*
Material: Ca2CoTc
Method: DFT, GGA-PBE
State: relaxed

```
4
Lattice="4.237 0.000 0.000 0.000 4.237 0.000 0.000 0.000 4.480" Properties=species:S:1:pos:R:3 pbc="T T T"
Ca 0.000 2.118 0.000
Ca 2.118 0.000 0.000
Co 0.000 0.000 2.240
Tc 2.118 2.118 2.240
```


The least stable of them is *two*.


*one*
Material: CaCo2Tc
Method: DFT, GGA-PBE
State: relaxed

```
16
Lattice="6.227 0.000 0.000 0.000 6.227 0.000 0.000 0.000 6.227" Properties=species:S:1:pos:R:3 pbc="T T T"
Ca 0.000 0.000 0.000
Ca 0.000 3.114 3.114
Ca 3.114 0.000 3.114
Ca 3.114 3.114 0.000
Co 1.557 1.557 1.557
Co 1.557 1.557 4.670
Co 1.557 4.670 1.557
Co 1.557 4.670 4.670
Co 4.670 1.557 1.557
Co 4.670 1.557 4.670
Co 4.670 4.670 1.557
Co 4.670 4.670 4.670
Tc 0.000 0.000 3.114
Tc 0.000 3.114 0.000
Tc 3.114 0.000 0.000
Tc 3.114 3.114 3.114
```


*two*
Material: CaCo2Tc
Method: DFT, GGA-PBE
State: relaxed

```
8
Lattice="2.708 0.000 0.000 0.000 4.590 0.000 0.000 0.000 9.699" Properties=species:S:1:pos:R:3 pbc="T T T"
Ca 0.000 0.000 0.000
Ca 1.354 2.295 4.849
Co 0.000 0.000 4.987
Co 0.000 2.295 2.138
Co 1.354 0.000 6.987
Co 1.354 2.295 0.138
Tc 0.000 2.295 7.654
Tc 1.354 0.000 2.805
```


The least stable of them is *one*.


*one*
Material: CaCo2Tc
Method: DFT, GGA-PBE
State: relaxed

```
8
Lattice="9.806 0.000 0.000 0.000 2.697 0.000 -1.435 0.000 4.526" Properties=species:S:1:pos:R:3 pbc="T T T"
Ca 0.000 0.000 0.000
Ca 4.903 1.348 0.000
Co -0.509 1.348 2.272
Co 1.095 0.000 3.510
Co 4.394 0.000 2.272
Co 5.998 1.348 3.510
Tc 2.301 1.348 1.674
Tc 7.204 0.000 1.674
```


*two*
Material: CaCo2Tc
Method: DFT, GGA-PBE
State: relaxed

```
16
Lattice="6.975 0.000 0.000 0.000 6.975 0.000 0.000 0.000 5.752" Properties=species:S:1:pos:R:3 pbc="T T T"
Ca 0.000 0.000 0.000
Ca 0.000 3.488 1.438
Ca 3.488 0.000 4.314
Ca 3.488 3.488 2.876
Co 1.300 1.744 3.595
Co 1.744 4.788 5.033
Co 1.744 5.675 2.157
Co 2.187 1.744 0.719
Co 4.788 5.231 0.719
Co 5.231 1.300 2.157
Co 5.231 2.187 5.033
Co 5.675 5.231 3.595
Tc 0.000 0.000 2.876
Tc 0.000 3.488 4.314
Tc 3.488 0.000 1.438
Tc 3.488 3.488 0.000
```


The least stable of them is *two*.


*one*
Material: CaCo2Tc
Method: DFT, GGA-PBE
State: relaxed

```
12
Lattice="2.830 0.000 0.000 -1.415 2.451 0.000 0.000 0.000 26.166" Properties=species:S:1:pos:R:3 pbc="T T T"
Ca 0.000 0.000 0.000
Ca 0.000 1.634 17.444
Ca 1.415 0.817 8.722
Co 0.000 0.000 6.316
Co 0.000 0.000 19.850
Co 0.000 1.634 11.128
Co 0.000 1.634 23.761
Co 1.415 0.817 2.406
Co 1.415 0.817 15.039
Tc 0.000 0.000 13.083
Tc 0.000 1.634 4.361
Tc 1.415 0.817 21.805
```


*two*
Material: CaCo2Tc
Method: DFT, GGA-PBE
State: relaxed

```
16
Lattice="6.226 0.000 0.000 0.000 6.226 0.000 0.000 0.000 6.226" Properties=species:S:1:pos:R:3 pbc="T T T"
Ca 0.000 0.000 0.000
Ca 0.000 3.113 3.113
Ca 3.113 0.000 3.113
Ca 3.113 3.113 0.000
Co 0.000 0.000 3.113
Co 0.000 3.113 0.000
Co 1.557 1.557 4.670
Co 1.557 4.670 1.557
Co 3.113 0.000 0.000
Co 3.113 3.113 3.113
Co 4.670 1.557 1.557
Co 4.670 4.670 4.670
Tc 1.557 1.557 1.557
Tc 1.557 4.670 4.670
Tc 4.670 1.557 4.670
Tc 4.670 4.670 1.557
```


The least stable of them is *two*.


*one*
Material: CaCo2Tc
Method: DFT, GGA-PBE
State: relaxed

```
8
Lattice="8.209 0.000 0.000 0.000 2.783 0.000 -0.774 0.000 5.831" Properties=species:S:1:pos:R:3 pbc="T T T"
Ca 0.000 0.000 0.000
Ca 4.105 1.391 0.000
Co 1.443 0.000 3.860
Co 1.888 1.391 1.971
Co 5.547 1.391 3.860
Co 5.993 0.000 1.971
Tc -0.387 1.391 2.915
Tc 3.718 0.000 2.915
```


*two*
Material: CaCo2Tc
Method: DFT, GGA-PBE
State: relaxed

```
4
Lattice="3.056 0.000 0.000 0.000 3.056 0.000 0.000 0.000 6.817" Properties=species:S:1:pos:R:3 pbc="T T T"
Ca 0.000 0.000 0.000
Co 1.528 1.528 2.117
Co 1.528 1.528 4.700
Tc 0.000 0.000 3.408
```


The least stable of them is *one*.


*one*
Material: Ca3CoTc
Method: DFT, GGA-PBE
State: relaxed

```
5
Lattice="5.337 0.000 0.000 0.000 5.337 0.000 0.000 0.000 5.337" Properties=species:S:1:pos:R:3 pbc="T T T"
Ca 0.000 0.000 2.669
Ca 0.000 2.669 0.000
Ca 2.669 0.000 0.000
Co 2.669 2.669 2.669
Tc 0.000 0.000 0.000
```


*two*
Material: Ca3CoTc
Method: DFT, GGA-PBE
State: relaxed

```
5
Lattice="5.232 0.000 0.000 0.000 5.232 0.000 0.000 0.000 5.232" Properties=species:S:1:pos:R:3 pbc="T T T"
Ca 0.000 0.000 2.616
Ca 0.000 2.616 0.000
Ca 2.616 0.000 0.000
Co 0.000 0.000 0.000
Tc 2.616 2.616 2.616
```


The least stable of them is *one*.